Record 1
Na4Tl2Cd2Hg after structural relaxation, computed with GGA-PBE.

Geometry as CIF:
```
data_Na4Tl2Cd2Hg
_cell_length_a 6.2895
_cell_length_b 8.2555
_cell_length_c 6.9700
_cell_angle_alpha 125.82
_cell_angle_beta 117.71
_cell_angle_gamma 69.50
_space_group_name_H-M_alt 'P 1'
_space_group_IT_number 1
loop_
_space_group_symop_operation_xyz
'x,y,z'
loop_
_atom_site_label
_atom_site_fract_x
_atom_site_fract_y
_atom_site_fract_z
Tl1 0.8850 0.2060 0.4915
Na1 0.6685 0.6501 0.4977
Na2 0.3315 0.3499 0.5023
Na3 0.5679 0.8168 0.0713
Hg1 0.0000 0.0000 0.0000
Tl2 0.1150 0.7940 0.5085
Na4 0.4321 0.1832 0.9287
Cd1 0.8532 0.3950 0.0210
Cd2 0.1468 0.6050 0.9790
```

Its crystal system is triclinic. The calculation puts the formation energy from the elements at -0.0964 eV per atom. Its space group is P-1 (2).

=====

Record 2
SbTe2AsRh after structural relaxation, computed with GGA-PBE.

Geometry as CIF:
```
data_SbTe2AsRh
_cell_length_a 5.2275
_cell_length_b 5.2275
_cell_length_c 5.0495
_cell_angle_alpha 90.00
_cell_angle_beta 90.00
_cell_angle_gamma 90.00
_space_group_name_H-M_alt 'P 1'
_space_group_IT_number 1
loop_
_space_group_symop_operation_xyz
'x,y,z'
loop_
_atom_site_label
_atom_site_fract_x
_atom_site_fract_y
_atom_site_fract_z
Rh1 0.0000 0.0000 0.0000
Te1 0.0000 0.5000 0.0000
As1 0.5000 0.5000 0.5000
Sb1 0.0000 0.0000 0.5000
Te2 0.5000 0.0000 0.0000
```

Its crystal system is tetragonal. The value obtained for the offset from the most stable computed form is 0 meV/atom. Its space group is P4/mmm (123).

=====

Record 3
AlZnP2 after structural relaxation, computed with GGA-PBE.

Geometry as CIF:
```
data_AlZnP2
_cell_length_a 9.7856
_cell_length_b 9.7856
_cell_length_c 9.7856
_cell_angle_alpha 17.02
_cell_angle_beta 17.02
_cell_angle_gamma 17.02
_space_group_name_H-M_alt 'P 1'
_space_group_IT_number 1
loop_
_space_group_symop_operation_xyz
'x,y,z'
loop_
_atom_site_label
_atom_site_fract_x
_atom_site_fract_y
_atom_site_fract_z
Al1 0.7500 0.7500 0.7500
Zn1 0.2500 0.2500 0.2500
P1 0.0188 0.0188 0.0188
P2 0.4812 0.4812 0.4812
```

Its crystal system is trigonal. The calculation puts the formation energy from the elements at 0.2726 eV per atom. The value obtained for the offset from the most stable computed form is 497 meV/atom. Its space group is R-3m (166).

=====

Record 4
TaCd2Os after structural relaxation, computed with GGA-PBE.

Geometry as CIF:
```
data_TaCd2Os
_cell_length_a 3.5713
_cell_length_b 3.5713
_cell_length_c 5.6756
_cell_angle_alpha 90.00
_cell_angle_beta 90.00
_cell_angle_gamma 90.00
_space_group_name_H-M_alt 'P 1'
_space_group_IT_number 1
loop_
_space_group_symop_operation_xyz
'x,y,z'
loop_
_atom_site_label
_atom_site_fract_x
_atom_site_fract_y
_atom_site_fract_z
Cd1 0.0000 0.0000 0.0085
Os1 0.5000 0.5000 0.2500
Cd2 0.0000 0.0000 0.4915
Ta1 0.5000 0.5000 0.7500
```

Its crystal system is tetragonal. The calculation puts the formation energy from the elements at 0.7208 eV per atom. The value obtained for the offset from the most stable computed form is 606 meV/atom. Its space group is P4/mmm (123).

=====

Record 5
BiP2RuS after structural relaxation, computed with GGA-PBE.

Geometry as CIF:
```
data_BiP2RuS
_cell_length_a 4.4819
_cell_length_b 4.4819
_cell_length_c 5.1923
_cell_angle_alpha 90.00
_cell_angle_beta 90.00
_cell_angle_gamma 90.00
_space_group_name_H-M_alt 'P 1'
_space_group_IT_number 1
loop_
_space_group_symop_operation_xyz
'x,y,z'
loop_
_atom_site_label
_atom_site_fract_x
_atom_site_fract_y
_atom_site_fract_z
S1 0.0000 0.0000 0.5000
P1 0.5000 0.0000 0.0000
Ru1 0.0000 0.0000 0.0000
P2 0.0000 0.5000 0.0000
Bi1 0.5000 0.5000 0.5000
```

Its crystal system is tetragonal. The value obtained for the offset from the most stable computed form is 0 meV/atom. Its space group is P4/mmm (123).

=====

Record 6
ThSbBr after structural relaxation, computed with GGA-PBE.

Geometry as CIF:
```
data_ThSbBr
_cell_length_a 4.0172
_cell_length_b 5.0269
_cell_length_c 5.0269
_cell_angle_alpha 120.00
_cell_angle_beta 90.00
_cell_angle_gamma 90.00
_space_group_name_H-M_alt 'P 1'
_space_group_IT_number 1
loop_
_space_group_symop_operation_xyz
'x,y,z'
loop_
_atom_site_label
_atom_site_fract_x
_atom_site_fract_y
_atom_site_fract_z
Br1 0.1669 0.3333 0.6667
Th1 0.1664 0.0000 0.0000
Sb1 0.6667 0.6667 0.3333
```

Its crystal system is hexagonal. Its space group is P-6m2 (187).

=====

Record 7
Sr2Y2O after structural relaxation, computed with GGA-PBE.

Geometry as CIF:
```
data_Sr2Y2O
_cell_length_a 4.0070
_cell_length_b 4.0070
_cell_length_c 10.5018
_cell_angle_alpha 79.00
_cell_angle_beta 79.00
_cell_angle_gamma 90.00
_space_group_name_H-M_alt 'P 1'
_space_group_IT_number 1
loop_
_space_group_symop_operation_xyz
'x,y,z'
loop_
_atom_site_label
_atom_site_fract_x
_atom_site_fract_y
_atom_site_fract_z
Y1 0.7500 0.2500 0.5000
Sr1 0.5799 0.5799 0.8401
O1 0.0000 0.0000 0.0000
Sr2 0.4201 0.4201 0.1599
Y2 0.2500 0.7500 0.5000
```

Its crystal system is tetragonal. The value obtained for the offset from the most stable computed form is 442 meV/atom. Its space group is I4/mmm (139).

=====

Record 8
ZnBPtO5 after structural relaxation, computed with GGA-PBE.

Geometry as CIF:
```
data_ZnBPtO5
_cell_length_a 5.1648
_cell_length_b 5.1648
_cell_length_c 6.9556
_cell_angle_alpha 105.69
_cell_angle_beta 105.69
_cell_angle_gamma 102.52
_space_group_name_H-M_alt 'P 1'
_space_group_IT_number 1
loop_
_space_group_symop_operation_xyz
'x,y,z'
loop_
_atom_site_label
_atom_site_fract_x
_atom_site_fract_y
_atom_site_fract_z
Pt1 0.0000 0.0000 0.0000
O1 0.2775 0.3886 0.5962
O2 0.8857 0.3330 0.1400
O3 0.8925 0.1075 0.7500
Pt2 0.0000 0.0000 0.5000
Zn1 0.3474 0.6526 0.2500
O4 0.1143 0.6670 0.8600
O5 0.6670 0.1143 0.3600
B1 0.3176 0.6824 0.7500
O6 0.7225 0.6114 0.4038
Zn2 0.6526 0.3474 0.7500
O7 0.3330 0.8857 0.6400
O8 0.3886 0.2775 0.0962
B2 0.6824 0.3176 0.2500
O9 0.1075 0.8925 0.2500
O10 0.6114 0.7225 0.9038
```

Its crystal system is monoclinic. Its space group is C2/c (15).

=====

Record 9
Mg2BeAs after structural relaxation, computed with GGA-PBE.

Geometry as CIF:
```
data_Mg2BeAs
_cell_length_a 4.9058
_cell_length_b 4.9058
_cell_length_c 2.9852
_cell_angle_alpha 90.00
_cell_angle_beta 90.00
_cell_angle_gamma 106.93
_space_group_name_H-M_alt 'P 1'
_space_group_IT_number 1
loop_
_space_group_symop_operation_xyz
'x,y,z'
loop_
_atom_site_label
_atom_site_fract_x
_atom_site_fract_y
_atom_site_fract_z
Be1 0.0000 0.5000 0.5000
Mg1 0.0000 0.0000 0.0000
Mg2 0.5000 0.5000 0.0000
As1 0.5000 0.0000 0.5000
```

Its crystal system is orthorhombic. The calculation puts the formation energy from the elements at 0.0940 eV per atom. The value obtained for the offset from the most stable computed form is 271 meV/atom. Its space group is Cmmm (65).

=====

Record 10
KZn2CdBr8 after structural relaxation, computed with GGA-PBE.

Geometry as CIF:
```
data_KZn2CdBr8
_cell_length_a 6.7694
_cell_length_b 6.7694
_cell_length_c 10.4469
_cell_angle_alpha 71.10
_cell_angle_beta 71.10
_cell_angle_gamma 60.00
_space_group_name_H-M_alt 'P 1'
_space_group_IT_number 1
loop_
_space_group_symop_operation_xyz
'x,y,z'
loop_
_atom_site_label
_atom_site_fract_x
_atom_site_fract_y
_atom_site_fract_z
Br1 0.0743 0.3845 0.8282
Br2 0.8311 0.8311 0.5067
Zn1 0.7477 0.7477 0.7568
K1 0.5000 0.5000 0.5000
Br3 0.6155 0.2870 0.1718
Br4 0.1689 0.1689 0.4933
Zn2 0.2523 0.2523 0.2432
Br5 0.3845 0.7130 0.8282
Br6 0.2870 0.9257 0.1718
Br7 0.9257 0.6155 0.1718
Br8 0.7130 0.0743 0.8282
Cd1 0.0000 0.0000 0.0000
```

Its crystal system is trigonal. Its space group is R-3 (148).

=====

Record 11
CdFeRe after structural relaxation, computed with GGA-PBE.

Geometry as CIF:
```
data_CdFeRe
_cell_length_a 7.2245
_cell_length_b 7.0358
_cell_length_c 2.7158
_cell_angle_alpha 82.96
_cell_angle_beta 75.14
_cell_angle_gamma 21.91
_space_group_name_H-M_alt 'P 1'
_space_group_IT_number 1
loop_
_space_group_symop_operation_xyz
'x,y,z'
loop_
_atom_site_label
_atom_site_fract_x
_atom_site_fract_y
_atom_site_fract_z
Re1 0.6808 0.6808 0.3192
Cd1 0.9951 0.9951 0.0049
Fe1 0.3241 0.3241 0.6759
```

Its crystal system is orthorhombic. The calculation puts the formation energy from the elements at 0.3996 eV per atom. The value obtained for the offset from the most stable computed form is 77 meV/atom. Its space group is Fmm2 (42).

=====

Record 12
LiCaHPb2 after structural relaxation, computed with GGA-PBE.

Geometry as CIF:
```
data_LiCaHPb2
_cell_length_a 6.3201
_cell_length_b 4.0703
_cell_length_c 6.3201
_cell_angle_alpha 90.00
_cell_angle_beta 90.00
_cell_angle_gamma 90.00
_space_group_name_H-M_alt 'P 1'
_space_group_IT_number 1
loop_
_space_group_symop_operation_xyz
'x,y,z'
loop_
_atom_site_label
_atom_site_fract_x
_atom_site_fract_y
_atom_site_fract_z
H1 0.0000 0.5000 0.0000
Pb1 0.5000 0.0000 0.0000
Li1 0.5000 0.5000 0.5000
Pb2 0.0000 0.0000 0.5000
Ca1 0.0000 0.0000 0.0000
```

Its crystal system is tetragonal. Its space group is P4/mmm (123).

=====

Record 13
CaCdSe after structural relaxation, computed with GGA-PBE.

Geometry as CIF:
```
data_CaCdSe
_cell_length_a 5.0379
_cell_length_b 5.0379
_cell_length_c 5.0379
_cell_angle_alpha 60.00
_cell_angle_beta 60.00
_cell_angle_gamma 60.00
_space_group_name_H-M_alt 'P 1'
_space_group_IT_number 1
loop_
_space_group_symop_operation_xyz
'x,y,z'
loop_
_atom_site_label
_atom_site_fract_x
_atom_site_fract_y
_atom_site_fract_z
Cd1 0.0000 0.0000 0.0000
Ca1 0.7500 0.7500 0.7500
Se1 0.5000 0.5000 0.5000
```

Its crystal system is cubic. The value obtained for the offset from the most stable computed form is 174 meV/atom. Its space group is F-43m (216).

=====

Record 14
PmZrSc2 after structural relaxation, computed with GGA-PBE.

Geometry as CIF:
```
data_PmZrSc2
_cell_length_a 3.2992
_cell_length_b 7.9096
_cell_length_c 8.3037
_cell_angle_alpha 95.61
_cell_angle_beta 90.00
_cell_angle_gamma 102.04
_space_group_name_H-M_alt 'P 1'
_space_group_IT_number 1
loop_
_space_group_symop_operation_xyz
'x,y,z'
loop_
_atom_site_label
_atom_site_fract_x
_atom_site_fract_y
_atom_site_fract_z
Pm1 0.3515 0.7030 0.0658
Zr1 0.5895 0.1790 0.5588
Sc1 0.7331 0.4662 0.3324
Pm2 0.6485 0.2970 0.9342
Sc2 0.9589 0.9178 0.7694
Sc3 0.2669 0.5338 0.6676
Sc4 0.0411 0.0822 0.2306
Zr2 0.4105 0.8210 0.4412
```

Its crystal system is monoclinic. The calculation puts the formation energy from the elements at 0.0308 eV per atom. The value obtained for the offset from the most stable computed form is 0 meV/atom. Its space group is C2/m (12).

=====

Record 15
ZnCd2Ag2 after structural relaxation, computed with GGA-PBE.

Geometry as CIF:
```
data_ZnCd2Ag2
_cell_length_a 6.9560
_cell_length_b 6.9560
_cell_length_c 4.1311
_cell_angle_alpha 90.00
_cell_angle_beta 90.00
_cell_angle_gamma 90.00
_space_group_name_H-M_alt 'P 1'
_space_group_IT_number 1
loop_
_space_group_symop_operation_xyz
'x,y,z'
loop_
_atom_site_label
_atom_site_fract_x
_atom_site_fract_y
_atom_site_fract_z
Cd1 0.8422 0.3422 0.5000
Ag1 0.8530 0.6470 0.0000
Cd2 0.1578 0.6578 0.5000
Zn1 0.0000 0.0000 0.0000
Cd3 0.3422 0.1578 0.5000
Ag2 0.1470 0.3530 0.0000
Ag3 0.3530 0.8530 0.0000
Zn2 0.5000 0.5000 0.0000
Ag4 0.6470 0.1470 0.0000
Cd4 0.6578 0.8422 0.5000
```

Its crystal system is tetragonal. The calculation puts the formation energy from the elements at 0.0461 eV per atom. The value obtained for the offset from the most stable computed form is 52 meV/atom. Its space group is P4/mbm (127).

=====

Record 16
Na5AgPt after structural relaxation, computed with GGA-PBE.

Geometry as CIF:
```
data_Na5AgPt
_cell_length_a 6.0155
_cell_length_b 6.0155
_cell_length_c 10.2995
_cell_angle_alpha 91.32
_cell_angle_beta 91.32
_cell_angle_gamma 87.47
_space_group_name_H-M_alt 'P 1'
_space_group_IT_number 1
loop_
_space_group_symop_operation_xyz
'x,y,z'
loop_
_atom_site_label
_atom_site_fract_x
_atom_site_fract_y
_atom_site_fract_z
Pt1 0.5001 0.4999 0.2500
Na1 0.2613 0.4466 0.4985
Na2 0.5534 0.7387 0.0015
Ag1 0.0000 0.0000 0.5000
Na3 0.0192 0.6100 0.1899
Na4 0.9808 0.3900 0.8101
Na5 0.8423 0.1577 0.2500
Na6 0.3900 0.9808 0.3101
Na7 0.7387 0.5534 0.5015
Pt2 0.4999 0.5001 0.7500
Na8 0.4466 0.2613 0.9985
Na9 0.1577 0.8423 0.7500
Na10 0.6100 0.0192 0.6899
Ag2 0.0000 0.0000 0.0000
```

Its crystal system is monoclinic. The calculation puts the formation energy from the elements at 0.0173 eV per atom. Its space group is C2/c (15).

=====

Record 17
La15PmSm4 after structural relaxation, computed with GGA-PBE.

Geometry as CIF:
```
data_La15PmSm4
_cell_length_a 5.2328
_cell_length_b 5.2328
_cell_length_c 26.2521
_cell_angle_alpha 90.00
_cell_angle_beta 90.00
_cell_angle_gamma 90.00
_space_group_name_H-M_alt 'P 1'
_space_group_IT_number 1
loop_
_space_group_symop_operation_xyz
'x,y,z'
loop_
_atom_site_label
_atom_site_fract_x
_atom_site_fract_y
_atom_site_fract_z
La1 0.5000 0.5000 0.7998
La2 0.0000 0.5000 0.3001
La3 0.5000 0.0000 0.8998
La4 0.5000 0.5000 0.4000
La5 0.0000 0.5000 0.6999
La6 0.5000 0.0000 0.3001
La7 0.5000 0.0000 0.5000
Sm1 0.0000 0.0000 0.4000
La8 0.5000 0.0000 0.6999
Sm2 0.0000 0.0000 0.7998
La9 0.0000 0.5000 0.1002
Sm3 0.0000 0.0000 0.6000
Pm1 0.0000 0.0000 0.0000
La10 0.5000 0.5000 0.0000
La11 0.5000 0.5000 0.6000
La12 0.5000 0.5000 0.2002
Sm4 0.0000 0.0000 0.2002
La13 0.0000 0.5000 0.8998
La14 0.5000 0.0000 0.1002
La15 0.0000 0.5000 0.5000
```

Its crystal system is tetragonal. The calculation puts the formation energy from the elements at 0.0111 eV per atom. Its space group is P4/mmm (123).

=====

Respective electronic total energy values: -1.445, -3.994, -3.686, -5.507, -5.264, -5.283, -4.317, -6.036, -2.797, -2.345, -6.876, -2.698, -2.922, -6.460, -1.715, -2.195, -4.866 eV per atom.